Material: NiAg3F
Method: DFT, PBE+U
State: relaxed

```
NiAg3F
1.0
-0.0677 3.4085 2.9517
2.4662 -2.4434 2.8781
3.7747 1.6575 -1.8274
Ag Ni F
3 1 1
direct
0.0000 0.0000 0.5000
0.0000 0.5000 0.0000
0.5000 0.0000 0.0000
0.5000 0.5000 0.5000
0.0000 0.0000 0.0000
```

raw total energy: -2.01 eV/atom